## Rb2TeF6 (PBE)

Data for a geometry-optimized Rb2TeF6 structure.

Lattice parameters (Å, degrees): 6.424 6.424 6.424 60.00 60.00 60.00
Atoms (fractional coordinates):
Rb (0.750, 0.750, 0.750)
F (0.770, 0.770, 0.230)
F (0.230, 0.770, 0.770)
F (0.770, 0.230, 0.770)
F (0.230, 0.770, 0.230)
F (0.770, 0.230, 0.230)
Te (0.000, 0.000, 0.000)
Rb (0.250, 0.250, 0.250)
F (0.230, 0.230, 0.770)

Computed properties:
formation energy from raw total energies	-237	kJ per mole of atoms
DFT total energy	-38.41	eV for the cell shown
M_tot	0.000	μB/atom


## YCoC2 (PBE)

Data for a geometry-optimized YCoC2 structure.

Lattice parameters (Å, degrees): 3.598 3.748 3.748 106.02 90.00 90.00
Atoms (fractional coordinates):
C (0.500, 0.544, 0.151)
C (0.500, 0.849, 0.456)
Co (0.500, 0.384, 0.616)
Y (0.000, 0.002, 0.998)

Computed properties:
DFT total energy	-33.37	eV for the cell shown
energy of formation	-337	meV per atom
M_tot	0.000	μB/atom


## BiP (PBE)

Data for a geometry-optimized BiP structure.

Lattice parameters (Å, degrees): 9.229 9.229 9.229 90.00 90.00 90.00
Atoms (fractional coordinates):
Bi (0.142, 0.142, 0.858)
P (0.155, 0.845, 0.845)
Bi (0.358, 0.642, 0.642)
Bi (0.142, 0.858, 0.142)
Bi (0.642, 0.358, 0.642)
Bi (0.642, 0.642, 0.358)
P (0.345, 0.345, 0.655)
P (0.845, 0.845, 0.155)
Bi (0.858, 0.858, 0.858)
P (0.155, 0.155, 0.155)
Bi (0.858, 0.142, 0.142)
P (0.845, 0.155, 0.845)
P (0.655, 0.345, 0.345)
Bi (0.358, 0.358, 0.358)
P (0.345, 0.655, 0.345)
P (0.655, 0.655, 0.655)

Computed properties:
offset from the most stable computed form	356	meV per atom
DFT total energy	-67.55	eV for the cell shown
energy of formation	423	meV per atom
M_tot	0.000	μB/atom


## LaZrPt (PBE)

Data for a geometry-optimized LaZrPt structure.

Lattice parameters (Å, degrees): 4.544 4.544 4.460 90.00 90.00 120.00
Atoms (fractional coordinates):
Pt (0.333, 0.667, 0.457)
Zr (0.667, 0.333, 0.528)
La (0.000, 0.000, 0.015)

Computed properties:
offset from the most stable computed form	238	meV per atom
DFT total energy	-21.26	eV for the cell shown
energy of formation	-581	meV per atom
M_tot	0.000	μB/atom